[1]
Here is crystalline PtN2ClO at its relaxed geometry from the Alexandria database. Energies are from PBE-GGA.

## Properties
The calculation puts the final energy at -0.1609 hartree per atom.

Lattice parameters (Å, degrees): 4.0350 4.0350 4.0737 90.00 90.00 90.00
Fractional coordinates of all 5 atoms:
Pt: 0.0000 0.0000 0.0000
N: 0.0000 0.5000 0.0000
N: 0.5000 0.0000 0.0000
Cl: 0.5000 0.5000 0.5000
O: 0.0000 0.0000 0.5000



[2]
Here is crystalline LiPmEuLu at its relaxed geometry from the Alexandria database. Energies are from PBE-GGA.

## Properties
The calculation puts the formation energy at 0.19 eV per atom.

Lattice parameters (Å, degrees): 5.6214 5.6214 5.6214 60.00 60.00 60.00
Fractional coordinates of all 4 atoms:
Li: 0.0000 0.0000 0.0000
Pm: 0.7500 0.7500 0.7500
Eu: 0.2500 0.2500 0.2500
Lu: 0.5000 0.5000 0.5000